PBE Tl2BiIO8, optimized geometry; calculated density = 7.98 g/cm³; spin magnetization = 0.00 μB/cell; SG = C2/m, No. 12; formation energy from raw total energies = -0.58 eV/atom
1.0
-1.213 -0.220 4.982
1.904 -4.767 0.084
6.253 2.238 1.903
O Bi Tl I
8 1 2 1
Direct
0.166 0.815 0.205 O
0.725 0.724 0.996 O
0.689 0.688 0.518 O
0.186 0.835 0.795 O
0.311 0.312 0.482 O
0.275 0.276 0.004 O
0.834 0.185 0.795 O
0.814 0.165 0.205 O
0.000 0.000 0.500 Bi
0.477 0.477 0.752 Tl
0.523 0.523 0.248 Tl
0.000 0.000 0.000 I